Record 1
This record from Alexandria describes crystalline MgZn2S at its relaxed geometry. The functional is PBE.

The space group is I-42d (No. 122) and the conventional cell measures 6.555, 6.555 and 8.438 Å, with angles of 90.00, 90.00 and 90.00 degrees. The asymmetric unit holds Mg at (0.000, 0.000, 0.000), Zn at (0.209, 0.250, 0.625) and S at (0.000, 0.000, 0.500).

The uncorrected formation energy comes out at -0.3 eV/f.u.

***

Record 2
This record from Alexandria describes crystalline PrSm3Sn at its relaxed geometry. The functional is PBE.

The space group is Amm2 (No. 38) and the conventional cell measures 5.668, 9.527 and 6.473 Å, with angles of 90.00, 90.00 and 90.00 degrees. The asymmetric unit holds Pr at (0.000, 0.000, 0.000), Sm at (0.000, 0.000, 0.522), Sm at (0.500, 0.177, 0.268) and Sn at (0.500, 0.000, 0.755).

The energy relative to the elements comes out at -0.034 eV/atom.

***

Record 3
This record from Alexandria describes crystalline NdCdRu at its relaxed geometry. The functional is PBE.

The space group is C2/m (No. 12) and the conventional cell measures 13.368, 4.274 and 5.240 Å, with angles of 90.00, 104.13 and 90.00 degrees. The asymmetric unit holds Nd at (0.129, 0.000, 0.328), Cd at (0.071, 0.500, 0.785) and Ru at (0.226, 0.000, 0.893).

The energy relative to the elements comes out at -0.154 eV/atom.